PBE Ba7Na4Sr, optimized geometry; total magnetization = 0.00 μB/f.u.; V = 665.3 Å³/f.u.; energy of formation from the pure elements = 0.108 eV per atom
1.0
9.0428 -3.6407 0.0000
9.0428 3.6407 0.0000
-6.3304 0.0000 10.1035
Ba Na Sr
7 4 1
Direct
0.0000 0.0000 0.0000
0.2363 0.2363 0.6950
0.2952 0.2952 0.1141
0.4236 0.4236 0.5844
0.5764 0.5764 0.4156
0.7048 0.7048 0.8859
0.7637 0.7637 0.3050
0.0337 0.0337 0.7019
0.1779 0.1779 0.3382
0.8221 0.8221 0.6618
0.9663 0.9663 0.2981
0.5000 0.5000 0.0000